No. 1
An optimized crystal structure of Ac4AsIr2Se. Source: the Alexandria database, functional PBE.

Properties
Volume ... 247 Å³/cell
Magnetic moment ... 0.0 μB/f.u.
E_tot ... -6.395 eV/atom
E_form (uncorrected) ... -1109 meV per atom

Cell and atoms, written as POSCAR:
```
Ac4AsIr2Se
1.0
4.399 0.000 0.000
0.000 7.608 0.135
0.000 -2.661 7.348
Ac As Ir Se
4 1 2 1
Direct
0.500 0.260 0.272 Ac
0.500 0.740 0.728 Ac
0.000 0.246 0.731 Ac
0.000 0.754 0.269 Ac
0.500 0.500 0.000 As
0.500 0.000 0.500 Ir
0.000 0.500 0.500 Ir
0.000 0.000 0.000 Se
```


No. 2
An optimized crystal structure of Ac6AsIr2Se3. Source: the Alexandria database, functional PBE.

Properties
Volume ... 384 Å³/cell
Magnetic moment ... 0.0 μB/f.u.
E_tot ... -6.197 eV/atom
E_form (uncorrected) ... -1407 meV per atom

Cell and atoms, written as POSCAR:
```
Ac6AsIr2Se3
1.0
-4.623 -4.477 4.155
6.669 -2.735 -2.593
2.719 4.784 5.784
Ac As Ir Se
6 1 2 3
Direct
0.926 0.578 0.773 Ac
0.728 0.728 0.228 Ac
0.074 0.422 0.227 Ac
0.578 0.926 0.773 Ac
0.272 0.272 0.772 Ac
0.422 0.074 0.227 Ac
0.000 0.000 0.000 As
0.333 0.667 0.000 Ir
0.667 0.333 0.000 Ir
0.161 0.839 0.500 Se
0.839 0.161 0.500 Se
0.500 0.500 0.500 Se
```


No. 3
An optimized crystal structure of Ac4AsIrSe2. Source: the Alexandria database, functional PBE.

Properties
Volume ... 257 Å³/cell
Magnetic moment ... 0.0 μB/f.u.
E_tot ... -6.087 eV/atom
E_form (uncorrected) ... -1473 meV per atom

Cell and atoms, written as POSCAR:
```
Ac4AsIrSe2
1.0
4.412 0.000 0.000
0.000 7.798 0.227
0.000 -2.638 7.408
Ac As Ir Se
4 1 1 2
Direct
0.500 0.233 0.228 Ac
0.500 0.767 0.772 Ac
0.000 0.243 0.769 Ac
0.000 0.757 0.231 Ac
0.500 0.500 0.000 As
0.000 0.000 0.000 Ir
0.500 0.000 0.500 Se
0.000 0.500 0.500 Se
```


No. 4
An optimized crystal structure of Ac8AsIr3Se4. Source: the Alexandria database, functional PBE.

Properties
Volume ... 509 Å³/cell
Magnetic moment ... 0.0 μB/f.u.
E_tot ... -6.244 eV/atom
E_form (uncorrected) ... -1366 meV per atom

Cell and atoms, written as POSCAR:
```
Ac8AsIr3Se4
1.0
8.810 0.000 0.000
0.000 9.120 0.210
-4.405 -4.399 6.234
Ac As Ir Se
8 1 3 4
Direct
0.247 0.724 0.978 Ac
0.247 0.724 0.494 Ac
0.258 0.273 0.516 Ac
0.731 0.724 0.978 Ac
0.269 0.276 0.022 Ac
0.742 0.727 0.484 Ac
0.753 0.276 0.506 Ac
0.753 0.276 0.022 Ac
0.000 0.500 0.000 As
0.500 0.500 0.000 Ir
0.500 0.500 0.500 Ir
0.000 0.500 0.500 Ir
0.500 0.000 0.000 Se
0.500 0.000 0.500 Se
0.000 0.000 0.000 Se
0.000 0.000 0.500 Se
```